VASP calculation (PBE+U) on Tl3CoO after structural relaxation.

extended XYZ file:
```
5
Lattice="4.9733 0.0000 0.0000 0.0000 4.9733 0.0000 0.0000 0.0000 4.9733" Properties=species:S:1:pos:R:3 pbc="T T T"
Tl 0.0000 0.0000 2.4866
Tl 0.0000 2.4866 0.0000
Tl 2.4866 0.0000 0.0000
Co 0.0000 0.0000 0.0000
O 2.4866 2.4866 2.4866
```

Summary:
As for the total energy: -2.88 eV/atom.